Compound: LuNb2Ga
Source: OQMD via LeMat-Bulk
Functional: PBE-GGA
Structure: relaxed

Output
**VASP energy**: -27.84 eV/cell
**Total magnetization**: 0.001 μB/f.u.

Cell: 4.7767 4.7767 4.7767 Å, 60.00 60.00 60.00°
Atoms (fractional coordinates):
Lu 0.0000 0.0000 0.0000
Nb 0.2500 0.2500 0.2500
Nb 0.5000 0.5000 0.5000
Ga 0.7500 0.7500 0.7500



Compound: Lu2NbGa
Source: OQMD via LeMat-Bulk
Functional: PBE-GGA
Structure: relaxed

Output
**VASP energy**: -21.84 eV/cell
**Total magnetization**: 0.005 μB/f.u.

Cell: 4.9157 4.9157 4.9157 Å, 60.00 60.00 60.00°
Atoms (fractional coordinates):
Lu 0.0000 0.0000 0.0000
Lu 0.2500 0.2500 0.2500
Nb 0.7500 0.7500 0.7500
Ga 0.5000 0.5000 0.5000



Compound: LuNbGa
Source: OQMD via LeMat-Bulk
Functional: PBE-GGA
Structure: relaxed

Output
**Energy relative to the lowest polymorph listed for this composition**: 258 meV/atom
**VASP energy**: -15.06 eV/cell
**Total magnetization**: 3.007 μB/f.u.

Cell: 4.7452 4.7452 4.7452 Å, 60.00 60.00 60.00°
Atoms (fractional coordinates):
Lu 0.0000 0.0000 0.0000
Nb 0.2500 0.2500 0.2500
Ga 0.7500 0.7500 0.7500



Compound: LuNbGaNi
Source: OQMD via LeMat-Bulk
Functional: PBE-GGA
Structure: relaxed

Output
**Energy relative to the lowest polymorph listed for this composition**: 0 meV/atom
**VASP energy**: -22.99 eV/cell
**Total magnetization**: 2.925 μB/f.u.

Cell: 4.6278 4.6278 4.6278 Å, 60.00 60.00 60.00°
Atoms (fractional coordinates):
Lu 0.0000 0.0000 0.0000
Nb 0.2500 0.2500 0.2500
Ga 0.5000 0.5000 0.5000
Ni 0.7500 0.7500 0.7500



Q: Which of these has the lowest total magnetization?
A: LuNb2Ga